# Tb4Te3Ru PBE-GGA optimized geometry
data_Tb4Te3Ru
_chemical_formula_sum 'Tb4 Te3 Ru1'
_cell_length_a 4.2142
_cell_length_b 7.6069
_cell_length_c 7.6069
_cell_angle_alpha 108.26
_cell_angle_beta 90.00
_cell_angle_gamma 90.00
_space_group_name_H-M_alt 'P 1'
_space_group_IT_number 1
loop_
_space_group_symop_operation_xyz
'x,y,z'
loop_
_atom_site_label
_atom_site_type_symbol
_atom_site_fract_x
_atom_site_fract_y
_atom_site_fract_z
Ru1 Ru 0.5000 0.0000 0.0000
Te1 Te 0.0000 0.0000 0.5000
Te2 Te 0.5000 0.5000 0.5000
Te3 Te 0.0000 0.5000 0.0000
Tb1 Tb 0.0000 0.2169 0.2169
Tb2 Tb 0.5000 0.7816 0.2184
Tb3 Tb 0.0000 0.7831 0.7831
Tb4 Tb 0.5000 0.2184 0.7816
# * Fermi-level density of states: 4.52 states/eV/f.u.
# * density: 8.0 g cm⁻³
# * size of the total moment: 0.00 μB/f.u.
# * formation energy (no corrections): -1.05 eV per atom
# * SG: Cmmm
# * final energy: -5.708 eV/atom